Compound: MoBr2F
Source: the Alexandria database
Functional: PBE+U
Structure: relaxed

## Properties
E_tot: -3.46 eV/atom
total magnetization: 0.750 μB/atom

Unit cell a=4.7094 b=4.7094 c=4.7094 alpha=60.00 beta=60.00 gamma=60.00
Atoms (fractional coordinates):
Mo  0.0000  0.0000  0.0000
Br  0.2500  0.2500  0.2500
Br  0.7500  0.7500  0.7500
F  0.5000  0.5000  0.5000